(1)
This record from Alexandria describes a geometry-optimized Zn2TcSb structure. The functional is PBE-GGA.

Energy relative to the elements, uncorrected = 0.19 eV per atom
E_tot = -4.0669 eV/atom
V = 66.0 Å³ per cell

abc: 5.200 5.200 5.200
angles: 136.42 136.42 63.32
Sites, in units of the cell vectors:
Sb: 0.250 0.750 0.500
Tc: 0.750 0.250 0.500
Zn: 0.000 0.000 0.000
Zn: 0.500 0.500 0.000

=====

(2)
This record from Alexandria describes a geometry-optimized Zn2TcSb structure. The functional is PBE-GGA.

Energy relative to the elements, uncorrected = 0.40 eV per atom
E_tot = -3.8610 eV/atom
V = 72.8 Å³ per cell

abc: 8.900 8.900 8.900
angles: 20.10 20.10 20.10
Sites, in units of the cell vectors:
Sb: 0.250 0.250 0.250
Tc: 0.750 0.750 0.750
Zn: 0.008 0.008 0.008
Zn: 0.492 0.492 0.492

=====

(3)
This record from Alexandria describes a geometry-optimized Zn2TcSb structure. The functional is PBE-GGA.

Energy relative to the elements, uncorrected = 0.51 eV per atom
E_tot = -3.7523 eV/atom
V = 152.2 Å³ per cell

abc: 7.602 7.602 5.986
angles: 50.58 50.58 90.00
Sites, in units of the cell vectors:
Sb: 0.000 0.000 0.000
Sb: 0.750 0.250 0.500
Zn: 0.602 0.125 0.250
Zn: 0.148 0.625 0.250
Zn: 0.375 0.398 0.750
Zn: 0.875 0.852 0.750
Tc: 0.500 0.500 0.000
Tc: 0.250 0.750 0.500

=====

(4)
This record from Alexandria describes a geometry-optimized ZnTcSb2 structure. The functional is PBE-GGA.

Energy relative to the elements, uncorrected = 0.46 eV per atom
E_tot = -4.5115 eV/atom
V = 227.1 Å³ per cell

abc: 6.206 6.206 7.349
angles: 65.02 65.02 90.00
Sites, in units of the cell vectors:
Sb: 0.645 0.125 0.250
Sb: 0.105 0.625 0.250
Sb: 0.375 0.355 0.750
Sb: 0.875 0.895 0.750
Zn: 0.500 0.500 0.000
Zn: 0.250 0.750 0.500
Tc: 0.000 0.000 0.000
Tc: 0.750 0.250 0.500

=====

(5)
This record from Alexandria describes a geometry-optimized ZnTcSb2 structure. The functional is PBE-GGA.

Energy relative to the elements, uncorrected = 0.12 eV per atom
E_tot = -4.8491 eV/atom
V = 78.2 Å³ per cell

abc: 4.484 3.530 5.243
angles: 70.33 90.00 90.00
Sites, in units of the cell vectors:
Sb: 0.000 0.982 0.909
Sb: 0.500 0.275 0.327
Tc: 0.000 0.697 0.480
Zn: 0.500 0.545 0.785

=====

(6)
This record from Alexandria describes a geometry-optimized Zn2TcSb structure. The functional is PBE-GGA.

Energy relative to the elements, uncorrected = 0.17 eV per atom
E_tot = -4.0864 eV/atom
V = 65.6 Å³ per cell

abc: 4.970 4.970 4.970
angles: 132.42 132.42 69.56
Sites, in units of the cell vectors:
Sb: 0.500 0.500 0.000
Tc: 0.750 0.250 0.500
Zn: 0.000 0.000 0.000
Zn: 0.250 0.750 0.500

=====

(7)
This record from Alexandria describes a geometry-optimized ZnTcSb2 structure. The functional is PBE-GGA.

Energy relative to the elements, uncorrected = 0.11 eV per atom
E_tot = -4.8567 eV/atom
V = 86.2 Å³ per cell

abc: 3.278 3.203 8.212
angles: 88.64 90.00 90.00
Sites, in units of the cell vectors:
Sb: 0.000 0.763 0.049
Sb: 0.000 0.737 0.451
Tc: 0.500 0.250 0.250
Zn: 0.500 0.750 0.750

=====

(8)
This record from Alexandria describes a geometry-optimized ZnTcSb2 structure. The functional is PBE-GGA.

Energy relative to the elements, uncorrected = 0.12 eV per atom
E_tot = -4.8504 eV/atom
V = 84.2 Å³ per cell

abc: 3.237 3.237 8.035
angles: 90.00 90.00 90.00
Sites, in units of the cell vectors:
Sb: 0.000 0.000 0.044
Sb: 0.000 0.000 0.456
Tc: 0.500 0.500 0.250
Zn: 0.500 0.500 0.750

=====

(9)
This record from Alexandria describes a geometry-optimized Zn2TcSb structure. The functional is PBE-GGA.

Energy relative to the elements, uncorrected = 0.17 eV per atom
E_tot = -4.0897 eV/atom
V = 67.2 Å³ per cell

abc: 3.554 3.554 5.321
angles: 90.00 90.00 90.00
Sites, in units of the cell vectors:
Sb: 0.500 0.500 0.250
Tc: 0.500 0.500 0.750
Zn: 0.000 0.000 0.979
Zn: 0.000 0.000 0.521

=====

(10)
This record from Alexandria describes a geometry-optimized ZnTcSb2 structure. The functional is PBE-GGA.

Energy relative to the elements, uncorrected = 0.15 eV per atom
E_tot = -4.8179 eV/atom
V = 84.1 Å³ per cell

abc: 3.354 3.354 7.478
angles: 90.00 90.00 90.00
Sites, in units of the cell vectors:
Sb: 0.000 0.000 0.930
Sb: 0.500 0.500 0.335
Tc: 0.000 0.000 0.532
Zn: 0.500 0.500 0.703

=====

(11)
This record from Alexandria describes a geometry-optimized ZnTcSb2 structure. The functional is PBE-GGA.

Energy relative to the elements, uncorrected = 0.14 eV per atom
E_tot = -4.8290 eV/atom
V = 83.1 Å³ per cell

abc: 8.324 8.324 8.324
angles: 23.90 23.90 23.90
Sites, in units of the cell vectors:
Sb: 0.006 0.006 0.006
Sb: 0.494 0.494 0.494
Tc: 0.750 0.750 0.750
Zn: 0.250 0.250 0.250

=====

(12)
This record from Alexandria describes a geometry-optimized Zn2TcSb structure. The functional is PBE-GGA.

Energy relative to the elements, uncorrected = 0.13 eV per atom
E_tot = -4.1257 eV/atom
V = 69.1 Å³ per cell

abc: 5.045 5.045 4.896
angles: 65.07 65.07 38.29
Sites, in units of the cell vectors:
Sb: 0.524 0.524 0.406
Tc: 0.253 0.253 0.351
Zn: 0.982 0.982 0.943
Zn: 0.741 0.741 0.800

=====

Copy entry 12 word for word.
This record from Alexandria describes a geometry-optimized Zn2TcSb structure. The functional is PBE-GGA.

Energy relative to the elements, uncorrected = 0.13 eV per atom
E_tot = -4.1257 eV/atom
V = 69.1 Å³ per cell

abc: 5.045 5.045 4.896
angles: 65.07 65.07 38.29
Sites, in units of the cell vectors:
Sb: 0.524 0.524 0.406
Tc: 0.253 0.253 0.351
Zn: 0.982 0.982 0.943
Zn: 0.741 0.741 0.800

=====

- The highest E_tot belongs to which entry?
  number 3